(1)
ZrTcAu2 | PBE | optimized geometry

Lattice parameters (Å, degrees): 4.6858 4.6858 4.6858 60.00 60.00 60.00
Fractional positions:
Au: 0.2500 0.2500 0.2500
Au: 0.7500 0.7500 0.7500
Tc: 0.5000 0.5000 0.5000
Zr: 0.0000 0.0000 0.0000

Computed properties:
Space group: Fm-3m
Total energy, eV for the cell shown: -25.3
Energy above the most stable polymorph in this dataset, meV per atom: 256.0
Size of the total moment, μB per cell: 0.0

(2)
ZrTcAu2 | PBE | optimized geometry

Lattice parameters (Å, degrees): 4.0320 4.0332 4.3283 90.00 90.00 90.00
Fractional positions:
Au: 0.0000 0.0000 0.0000
Au: 0.5000 0.5000 0.0000
Tc: 0.5000 0.0000 0.5000
Zr: 0.0000 0.5000 0.5000

Computed properties:
Space group: P4/mmm
Total energy, eV for the cell shown: -26.4
Energy above the most stable polymorph in this dataset, meV per atom: 0.0
Size of the total moment, μB per cell: 0.5

(3)
Zr2TcAu | PBE | optimized geometry

Lattice parameters (Å, degrees): 2.9896 2.9896 9.2705 90.00 90.00 110.16
Fractional positions:
Au: 0.0000 0.0000 0.5133
Tc: 0.5000 0.5000 0.7548
Zr: 0.0000 0.0000 0.9712
Zr: 0.5000 0.5000 0.2608

Computed properties:
Space group: Cmm2
Total energy, eV for the cell shown: -30.5
Size of the total moment, μB per cell: 0.0

(4)
ZrTcAu2 | PBE | optimized geometry

Lattice parameters (Å, degrees): 2.9022 2.9022 8.5521 90.00 90.00 90.00
Fractional positions:
Au: 0.0000 0.0000 0.0014
Au: 0.5000 0.5000 0.2622
Tc: 0.0000 0.0000 0.4922
Zr: 0.5000 0.5000 0.7442

Computed properties:
Space group: P4mm
Total energy, eV for the cell shown: -25.4
Energy above the most stable polymorph in this dataset, meV per atom: 235.4
Size of the total moment, μB per cell: 0.0

(5)
ZrTcAu2 | PBE | optimized geometry

Lattice parameters (Å, degrees): 2.9587 2.9587 8.1983 90.00 90.00 90.00
Fractional positions:
Au: 0.0000 0.0000 0.0118
Au: 0.0000 0.0000 0.4882
Tc: 0.5000 0.5000 0.2500
Zr: 0.5000 0.5000 0.7500

Computed properties:
Space group: P4/mmm
Total energy, eV for the cell shown: -25.2
Energy above the most stable polymorph in this dataset, meV per atom: 290.7
Size of the total moment, μB per cell: 1.5

(6)
ZrTcAu2 | PBE | optimized geometry

Lattice parameters (Å, degrees): 4.6728 4.6728 4.6728 60.00 60.00 60.00
Fractional positions:
Au: 0.0000 0.0000 0.0000
Au: 0.2500 0.2500 0.2500
Tc: 0.5000 0.5000 0.5000
Zr: 0.7500 0.7500 0.7500

Computed properties:
Space group: F-43m
Total energy, eV for the cell shown: -25.4
Energy above the most stable polymorph in this dataset, meV per atom: 245.2
Size of the total moment, μB per cell: 0.9

(7)
ZrTc2Au | PBE | optimized geometry

Lattice parameters (Å, degrees): 4.5843 4.5843 4.5843 60.00 60.00 60.00
Fractional positions:
Au: 0.5000 0.5000 0.5000
Tc: 0.2500 0.2500 0.2500
Tc: 0.7500 0.7500 0.7500
Zr: 0.0000 0.0000 0.0000

Computed properties:
Space group: Fm-3m
Total energy, eV for the cell shown: -31.7
Energy above the most stable polymorph in this dataset, meV per atom: 301.7
Size of the total moment, μB per cell: 0.0

(8)
Zr2Tc2Au | PBE | optimized geometry

Lattice parameters (Å, degrees): 6.9436 6.9436 3.9415 90.00 90.00 90.00
Fractional positions:
Au: 0.0000 0.0000 0.0000
Au: 0.5000 0.5000 0.0000
Tc: 0.3807 0.8807 0.0000
Tc: 0.8807 0.6193 0.0000
Tc: 0.6193 0.1193 0.0000
Tc: 0.1193 0.3807 0.0000
Zr: 0.1831 0.6831 0.5000
Zr: 0.6831 0.8169 0.5000
Zr: 0.8169 0.3169 0.5000
Zr: 0.3169 0.1831 0.5000

Computed properties:
Space group: P4/mbm
Total energy, eV for the cell shown: -83.7
Size of the total moment, μB per cell: 0.0

- Which of these has the highest size of the total moment?
  number 5

Repeat the third record exactly.
Zr2TcAu | PBE | optimized geometry

Lattice parameters (Å, degrees): 2.9896 2.9896 9.2705 90.00 90.00 110.16
Fractional positions:
Au: 0.0000 0.0000 0.5133
Tc: 0.5000 0.5000 0.7548
Zr: 0.0000 0.0000 0.9712
Zr: 0.5000 0.5000 0.2608

Computed properties:
Space group: Cmm2
Total energy, eV for the cell shown: -30.5
Size of the total moment, μB per cell: 0.0